(1)
An optimized crystal structure of RbTaO3, computed with PBE.

Total energy   -7.337 eV per atom
Space-group type   R-3c (167)

Cell: 6.6005 6.6005 6.6005 Å, 59.50 59.50 59.50°
Fractional positions:
1 Rb 0.0000 0.0000 0.0000
2 Rb 0.5000 0.5000 0.5000
3 Ta 0.2500 0.2500 0.2500
4 Ta 0.7500 0.7500 0.7500
5 O 0.0284 0.7500 0.4716
6 O 0.2500 0.5284 0.9716
7 O 0.4716 0.0284 0.7500
8 O 0.5284 0.9716 0.2500
9 O 0.7500 0.4716 0.0284
10 O 0.9716 0.2500 0.5284



(2)
An optimized crystal structure of RbTaO3, computed with PBE.

Total energy   -8.098 eV per atom
Space-group type   Pm-3m (221)

Cell: 4.0445 4.0445 4.0445 Å, 90.00 90.00 90.00°
Fractional positions:
1 Rb 0.0000 0.0000 0.0000
2 Ta 0.5000 0.5000 0.5000
3 O 0.0000 0.5000 0.5000
4 O 0.5000 0.0000 0.5000
5 O 0.5000 0.5000 0.0000



(3)
An optimized crystal structure of RbTa2O4, computed with PBE.

Total energy   -8.255 eV per atom
Space-group type   Fd-3m (227)

Cell: 6.6394 6.6394 6.6394 Å, 60.00 60.00 60.00°
Fractional positions:
1 Rb 0.1250 0.1250 0.1250
2 Rb 0.8750 0.8750 0.8750
3 Ta 0.0000 0.5000 0.5000
4 Ta 0.5000 0.0000 0.5000
5 Ta 0.5000 0.5000 0.0000
6 Ta 0.5000 0.5000 0.5000
7 O 0.2766 0.2766 0.2766
8 O 0.2766 0.2766 0.6703
9 O 0.2766 0.6703 0.2766
10 O 0.3297 0.7234 0.7234
11 O 0.6703 0.2766 0.2766
12 O 0.7234 0.3297 0.7234
13 O 0.7234 0.7234 0.3297
14 O 0.7234 0.7234 0.7234



(4)
An optimized crystal structure of RbTaO3, computed with PBE.

Total energy   -8.146 eV per atom
Space-group type   P-1 (2)

Cell: 5.1110 8.3215 8.8213 Å, 113.60 93.47 94.99°
Fractional positions:
1 Rb 0.0000 0.0000 0.0000
2 Rb 0.0000 0.0000 0.5000
3 Rb 0.4182 0.7057 0.0978
4 Rb 0.5818 0.2943 0.9022
5 Ta 0.0267 0.5132 0.3108
6 Ta 0.4969 0.2826 0.3542
7 Ta 0.5031 0.7174 0.6458
8 Ta 0.9733 0.4868 0.6892
9 O 0.0976 0.3868 0.8222
10 O 0.2112 0.7216 0.7758
11 O 0.2360 0.4235 0.5109
12 O 0.2859 0.7179 0.4542
13 O 0.3006 0.3749 0.2011
14 O 0.3477 0.0551 0.2693
15 O 0.6523 0.9449 0.7307
16 O 0.6994 0.6251 0.7989
17 O 0.7141 0.2821 0.5458
18 O 0.7640 0.5765 0.4891
19 O 0.7888 0.2784 0.2242
20 O 0.9024 0.6132 0.1778